Mn3OF6 after structural relaxation, computed with PBE+U.

a = 5.7834 Å, b = 6.8258 Å, c = 7.9203 Å
α = 71.16°, β = 75.90°, γ = 85.95°
Space group P-1 (No. 2)
Asymmetric unit:
Mn1 0.0739 0.1357 0.2821 (multiplicity 2)
Mn2 0.2275 0.4490 0.8495 (multiplicity 2)
Mn3 0.3627 0.7176 0.4437 (multiplicity 2)
O1 0.1058 0.6104 0.6471 (multiplicity 2)
F1 0.1091 0.6788 0.9506 (multiplicity 2)
F2 0.1738 0.8398 0.2668 (multiplicity 2)
F3 0.2466 0.0055 0.5023 (multiplicity 2)
F4 0.3426 0.2188 0.7510 (multiplicity 2)
F5 0.3439 0.3040 0.0616 (multiplicity 2)
F6 0.4456 0.4218 0.3764 (multiplicity 2)

- calculated volume (Å³ per cell) = 287.0
- ρ (g cm⁻³) = 3.4
- electronic total energy (Ha/atom) = -0.2263
- crystal system = triclinic
- energy above the most stable polymorph in this dataset (meV per atom) = 16